Entry from Alexandria: a relaxed structure of Al4TlCl (PBE).

abc: 5.691 5.691 5.691
angles: 60.00 60.00 60.00
Positions (direct):
Al: 0.125 0.125 0.125
Al: 0.125 0.125 0.625
Al: 0.125 0.625 0.125
Al: 0.625 0.125 0.125
Tl: 0.500 0.500 0.500
Cl: 0.750 0.750 0.750

Summary:
Fermi-level density of states: 0.683 states/eV per atom
ΔE_f (raw): 0.88 eV/f.u.
Magnetic moment: 0.00 μB/atom